Cr2SeO, relaxed, DFT PBE with a Hubbard U; theoretical density = 5.470 g cm⁻³; E above lowest polymorph = 93 meV per atom; DOS(E_F) = 0.4712 states/eV/atom; M_tot = 8.00 μB/f.u.
1.0
1.734 1.001 5.796
-1.734 1.001 5.796
0.000 -2.003 5.796
Cr Se O
2 1 1
direct
0.236 0.236 0.236
0.764 0.764 0.764
0.000 0.000 0.000
0.500 0.500 0.500